Entry 1:
A relaxed structure of DyHo2Pd2. Source: the Alexandria database, functional PBE.

Unit cell a=3.847 b=13.624 c=9.688 alpha=90.00 beta=90.00 gamma=90.00
Space group Cmc2_1 (No. 36)
Asymmetric unit:
Dy (0.000, 0.102, 0.000) (multiplicity 4)
Ho (0.000, 0.182, 0.366) (multiplicity 4)
Ho (0.000, 0.394, 0.159) (multiplicity 4)
Pd (0.000, 0.262, 0.652) (multiplicity 4)
Pd (0.000, 0.470, 0.878) (multiplicity 4)

N(E_F) (states/eV/f.u.): 4.3
ΔE_f (eV/atom): -0.67
V (A^3/atom): 25.39
Mass density (g/cm³): 9.225
Relative energy among the computed polymorphs (meV/atom): 70
Raw total energy (eV/atom): -5.50

---

Entry 2:
A relaxed structure of Dy3HoPd3. Source: the Alexandria database, functional PBE.

Unit cell a=9.193 b=10.430 c=7.092 alpha=90.00 beta=92.18 gamma=90.00
Space group C2/m (No. 12)
Asymmetric unit:
Dy (0.000, 0.176, 0.000) (multiplicity 4)
Dy (0.000, 0.251, 0.500) (multiplicity 4)
Dy (0.152, 0.500, 0.866) (multiplicity 4)
Ho (0.239, 0.500, 0.376) (multiplicity 4)
Pd (0.062, 0.000, 0.308) (multiplicity 4)
Pd (0.242, 0.256, 0.220) (multiplicity 8)

N(E_F) (states/eV/f.u.): 5.0
ΔE_f (eV/atom): -0.70
V (A^3/atom): 24.27
Mass density (g/cm³): 9.499
Raw total energy (eV/atom): -5.55

---

Entry 3:
A relaxed structure of Dy2Ho3Pd2. Source: the Alexandria database, functional PBE.

Unit cell a=12.340 b=3.701 c=9.044 alpha=90.00 beta=116.82 gamma=90.00
Space group C2/m (No. 12)
Asymmetric unit:
Dy (0.157, 0.000, 0.313) (multiplicity 4)
Ho (0.000, 0.500, 0.500) (multiplicity 2)
Ho (0.113, 0.500, 0.940) (multiplicity 4)
Pd (0.170, 0.000, 0.736) (multiplicity 4)

N(E_F) (states/eV/f.u.): 8.5
ΔE_f (eV/atom): -0.53
V (A^3/atom): 26.33
Mass density (g/cm³): 9.303
Relative energy among the computed polymorphs (meV/atom): 0
Raw total energy (eV/atom): -5.29

---

Entry 4:
A relaxed structure of Dy5HoPd2. Source: the Alexandria database, functional PBE.

Unit cell a=3.813 b=12.682 c=18.110 alpha=90.00 beta=90.00 gamma=90.00
Space group Cmcm (No. 63)
Asymmetric unit:
Dy (0.000, 0.053, 0.105) (multiplicity 8)
Dy (0.000, 0.347, 0.043) (multiplicity 8)
Dy (0.000, 0.382, 0.750) (multiplicity 4)
Ho (0.000, 0.353, 0.250) (multiplicity 4)
Pd (0.000, 0.248, 0.631) (multiplicity 8)

N(E_F) (states/eV/f.u.): 8.2
ΔE_f (eV/atom): -0.37
V (A^3/atom): 27.37
Mass density (g/cm³): 9.028
Raw total energy (eV/atom): -5.11

---

Entry 5:
A relaxed structure of DyHo2Pd3. Source: the Alexandria database, functional PBE.

Unit cell a=4.995 b=14.983 c=3.425 alpha=90.00 beta=90.00 gamma=90.00
Space group Cmmm (No. 65)
Asymmetric unit:
Dy (0.000, 0.000, 0.000) (multiplicity 2)
Ho (0.000, 0.333, 0.000) (multiplicity 4)
Pd (0.000, 0.168, 0.500) (multiplicity 4)
Pd (0.000, 0.500, 0.500) (multiplicity 2)

N(E_F) (states/eV/f.u.): 2.6
ΔE_f (eV/atom): -0.90
V (A^3/atom): 21.36
Mass density (g/cm³): 10.516
Raw total energy (eV/atom): -5.79

---

Entry 6:
A relaxed structure of Dy4HoPd5. Source: the Alexandria database, functional PBE.

Unit cell a=3.472 b=3.472 c=17.858 alpha=90.00 beta=90.00 gamma=90.00
Space group P4/mmm (No. 123)
Asymmetric unit:
Dy (0.000, 0.000, 0.100) (multiplicity 2)
Dy (0.000, 0.000, 0.301) (multiplicity 2)
Ho (0.000, 0.000, 0.500) (multiplicity 1)
Pd (0.500, 0.500, 0.000) (multiplicity 1)
Pd (0.500, 0.500, 0.200) (multiplicity 2)
Pd (0.500, 0.500, 0.401) (multiplicity 2)

N(E_F) (states/eV/f.u.): 7.8
ΔE_f (eV/atom): -0.88
V (A^3/atom): 21.52
Mass density (g/cm³): 10.392
Raw total energy (eV/atom): -5.78

---

Entry 7:
A relaxed structure of Dy2Ho2Pd3. Source: the Alexandria database, functional PBE.

Unit cell a=4.929 b=4.933 c=7.748 alpha=108.39 beta=108.26 gamma=90.08
Space group P-1 (No. 2)
Asymmetric unit:
Dy (0.129, 0.126, 0.251) (multiplicity 2)
Ho (0.372, 0.373, 0.749) (multiplicity 2)
Pd (0.000, 0.500, 0.000) (multiplicity 1)
Pd (0.254, 0.756, 0.512) (multiplicity 2)

N(E_F) (states/eV/f.u.): 6.7
ΔE_f (eV/atom): -0.72
V (A^3/atom): 24.10
Mass density (g/cm³): 9.588
Raw total energy (eV/atom): -5.57

---

Entry 8:
A relaxed structure of DyHoPd2. Source: the Alexandria database, functional PBE.

Unit cell a=4.998 b=4.998 c=3.427 alpha=90.00 beta=90.00 gamma=90.00
Space group P4/mmm (No. 123)
Asymmetric unit:
Dy (0.000, 0.000, 0.000) (multiplicity 1)
Ho (0.500, 0.500, 0.000) (multiplicity 1)
Pd (0.000, 0.500, 0.500) (multiplicity 2)

N(E_F) (states/eV/f.u.): 1.8
ΔE_f (eV/atom): -0.90
V (A^3/atom): 21.40
Mass density (g/cm³): 10.480
Relative energy among the computed polymorphs (meV/atom): 27
Raw total energy (eV/atom): -5.79